1.
Below is a relaxed structure of Si2TeP, with properties calculated at the PBE level.

Summary:
The total magnetization comes out at 0.00 μB/f.u. As for the space group: No. 35. The formation energy (no corrections) comes out at 0.47 eV/atom. For the energy above the most stable polymorph in this dataset, the calculation gives 0.297 eV/atom.

Cell: 3.2619 3.2619 8.8935 Å, 90.00 90.00 114.87°
Sites, in units of the cell vectors:
Si 0.0000 0.0000 0.0000
Si 0.5000 0.5000 0.2054
Te 0.0000 0.0000 0.4436
P 0.5000 0.5000 0.8368

***

2.
Below is a relaxed structure of MgCu5Pt6, with properties calculated at the PBE level.

Summary:
The total magnetization comes out at 0.00 μB/f.u. The formation enthalpy at 0 K is -3.32 eV per formula unit. As for the space group: No. 71.

Cell: 7.2057 7.2057 7.2057 Å, 148.03 119.23 70.33°
Sites, in units of the cell vectors:
Mg 0.0000 0.0000 0.0000
Cu 0.1656 0.6656 0.5000
Cu 0.3297 0.3297 0.0000
Cu 0.5000 0.0000 0.5000
Cu 0.6703 0.6703 0.0000
Cu 0.8344 0.3344 0.5000
Pt 0.0864 0.8322 0.2543
Pt 0.2579 0.5000 0.7579
Pt 0.4221 0.1678 0.2543
Pt 0.5779 0.8322 0.7457
Pt 0.7421 0.5000 0.2421
Pt 0.9136 0.1678 0.7457

***

3.
Below is a relaxed structure of Ac2PrPa, with properties calculated at the PBE level.

Summary:
The total magnetization comes out at 0.00 μB/f.u. The formation enthalpy at 0 K is 1.96 eV per formula unit. As for the space group: No. 166.

Cell: 13.2792 13.2792 13.2792 Å, 15.50 15.50 15.50°
Sites, in units of the cell vectors:
Ac 0.0847 0.0847 0.0847
Ac 0.9153 0.9153 0.9153
Pr 0.5000 0.5000 0.5000
Pa 0.0000 0.0000 0.0000